No. 1
The following is a DFT calculation (GGA+U) of a relaxed LiNiHg2F6 crystal.

Results
SG: P2_1/c
D(E_F) in states/eV/cell: 4.06
Final energy in eV/atom: -3.444

abc: 5.623 5.755 7.967
angles: 90.00 89.83 90.00
Fractional positions:
F1 0.210 0.796 0.956
F2 0.799 0.212 0.453
F3 0.912 0.476 0.748
Li1 0.500 0.000 0.500
F4 0.701 0.712 0.047
F5 0.299 0.288 0.953
Hg1 0.488 0.547 0.749
Hg2 0.988 0.953 0.249
Ni1 0.500 0.000 0.000
F6 0.412 0.024 0.248
Hg3 0.012 0.047 0.751
Hg4 0.512 0.453 0.251
Ni2 0.000 0.500 0.500
F7 0.201 0.788 0.547
F8 0.588 0.976 0.752
Li2 0.000 0.500 0.000
F9 0.790 0.204 0.044
F10 0.710 0.704 0.456
F11 0.088 0.524 0.252
F12 0.290 0.296 0.544


No. 2
The following is a DFT calculation (GGA+U) of a relaxed LiNiHg2F8 crystal.

Results
SG: I-4m2
D(E_F) in states/eV/cell: 8.11
Final energy in eV/atom: -3.254

abc: 6.091 6.091 6.091
angles: 115.75 115.75 97.54
Fractional positions:
Ni1 0.250 0.750 0.500
F1 0.968 0.271 0.303
F2 0.729 0.032 0.697
F3 0.336 0.032 0.303
F4 0.923 0.721 0.203
Li1 0.000 0.000 0.000
F5 0.279 0.077 0.797
F6 0.968 0.664 0.697
Hg1 0.750 0.250 0.500
F7 0.518 0.721 0.797
F8 0.279 0.482 0.203
Hg2 0.500 0.500 0.000


No. 3
The following is a DFT calculation (GGA+U) of a relaxed LiNiHgF5 crystal.

Results
SG: C2/c
D(E_F) in states/eV/cell: 0.00
Final energy in eV/atom: -3.744

abc: 5.612 5.612 8.369
angles: 104.35 104.35 106.24
Fractional positions:
Li1 0.311 0.689 0.750
F1 0.639 0.978 0.279
F2 0.399 0.335 0.085
F3 0.335 0.399 0.585
Ni1 0.360 0.640 0.250
F4 0.601 0.665 0.915
F5 0.361 0.022 0.721
F6 0.978 0.639 0.779
Ni2 0.640 0.360 0.750
F7 0.665 0.601 0.415
Li2 0.689 0.311 0.250
Hg1 0.000 0.000 0.000
Hg2 0.000 0.000 0.500
F8 0.860 0.140 0.750
F9 0.022 0.361 0.221
F10 0.140 0.860 0.250


No. 4
The following is a DFT calculation (GGA+U) of a relaxed LiNiHgF6 crystal.

Results
SG: P-31c
D(E_F) in states/eV/cell: 0.00
Final energy in eV/atom: -3.689

abc: 5.209 5.209 9.832
angles: 90.00 90.00 120.00
Fractional positions:
Hg1 0.000 0.000 0.000
Ni1 0.333 0.667 0.750
F1 0.982 0.629 0.358
F2 0.629 0.647 0.642
Li1 0.667 0.333 0.750
F3 0.353 0.982 0.642
F4 0.647 0.018 0.358
Ni2 0.667 0.333 0.250
F5 0.629 0.982 0.858
F6 0.018 0.647 0.858
F7 0.371 0.018 0.142
F8 0.353 0.371 0.858
F9 0.647 0.629 0.142
F10 0.018 0.371 0.642
Li2 0.333 0.667 0.250
F11 0.371 0.353 0.358
F12 0.982 0.353 0.142
Hg2 0.000 0.000 0.500


No. 5
The following is a DFT calculation (GGA+U) of a relaxed Li2NiHgF8 crystal.

Results
SG: C2/m
Final energy in eV/atom: -3.707

abc: 4.665 4.665 6.837
angles: 87.05 87.04 88.91
Fractional positions:
F1 0.730 0.729 0.008
F2 0.683 0.683 0.503
Li1 0.476 0.476 0.749
F3 0.185 0.796 0.189
F4 0.270 0.271 0.992
Li2 0.524 0.524 0.251
Hg1 0.000 0.000 0.500
F5 0.796 0.185 0.189
F6 0.317 0.317 0.497
F7 0.815 0.204 0.811
F8 0.204 0.815 0.811
Ni1 0.000 0.000 0.000


Which value of final energy does entry 1 give?
-3.444 eV/atom